1) PmPr3Er3, relaxed, DFT PBE; total magnetization = 0.0 Bohr magnetons per cell; N(E_F) = 1.2700 states/eV/atom
1.0
-5.614 -5.437 2.757
1.704 -2.278 7.784
-5.219 3.623 5.322
Er Pr Pm
6 6 2
Cartesian
-7.189 -4.872 11.010 Er
-1.941 0.779 4.852 Er
-4.080 -1.362 3.069 Er
-5.049 -2.730 12.794 Er
-1.105 -2.611 4.459 Er
-8.025 -1.482 11.403 Er
-0.753 -2.908 7.921 Pr
-8.376 -1.185 7.942 Pr
-4.516 -5.813 8.969 Pr
-5.879 -3.854 4.726 Pr
-3.250 -0.238 11.136 Pr
-4.613 1.721 6.893 Pr
-5.399 -2.420 9.381 Pm
-3.730 -1.672 6.481 Pm



2) PmPr3Er3, relaxed, DFT PBE; total magnetization = 0.0 Bohr magnetons per cell; N(E_F) = 1.7476 states/eV/atom
1.0
5.806 0.000 0.000
0.000 9.703 0.000
0.000 -4.852 8.403
Pm Er Pr
2 6 6
Cartesian
1.452 4.852 2.801 Pm
4.355 0.000 5.602 Pm
4.355 0.684 1.943 Er
1.452 4.168 6.460 Er
1.452 8.362 1.564 Er
4.355 -3.510 6.839 Er
1.452 2.025 0.380 Er
4.355 2.827 8.023 Er
1.452 0.725 7.600 Pr
4.355 6.944 3.172 Pr
4.355 3.484 4.427 Pr
1.452 1.368 3.976 Pr
4.355 4.127 0.803 Pr
1.452 -2.092 5.231 Pr



It is 1) that is the least stable of them.



1) Pm12PrEr7, relaxed, DFT PBE; total magnetization = 0.0 Bohr magnetons per cell; N(E_F) = 1.3796 states/eV/atom
1.0
9.415 0.000 -3.329
-4.708 8.154 -3.329
0.000 0.000 9.986
Pm Er Pr
12 7 1
Cartesian
1.215 2.075 3.400 Pm
-2.303 8.139 3.257 Pm
7.011 0.015 0.072 Pm
-0.009 4.164 0.012 Pm
1.105 6.064 3.341 Pm
-1.097 6.079 -3.317 Pm
3.493 6.079 -0.072 Pm
-1.189 2.090 6.586 Pm
5.804 2.075 6.645 Pm
4.716 3.989 3.317 Pm
3.602 2.090 -0.012 Pm
5.897 6.064 -3.257 Pm
0.000 0.000 4.993 Er
2.354 4.077 1.664 Er
4.708 0.000 3.329 Er
-2.354 4.077 -1.664 Er
4.708 0.000 -1.664 Er
2.354 4.077 -3.329 Er
-2.354 4.077 3.329 Er
0.000 0.000 0.000 Pr



2) Pm12PrEr7, relaxed, DFT PBE; total magnetization = 0.0 Bohr magnetons per cell; N(E_F) = 1.7476 states/eV/atom
1.0
-0.137 5.332 7.732
-6.030 -7.087 1.281
8.612 -3.659 -0.823
Pm Er Pr
12 7 1
Cartesian
4.368 -2.037 2.633 Pm
3.286 -0.488 5.911 Pm
2.201 0.740 2.970 Pm
-0.841 -4.926 2.279 Pm
-0.426 0.097 5.475 Pm
-1.923 -3.377 5.557 Pm
4.520 -3.927 5.416 Pm
-2.075 -1.487 2.774 Pm
0.730 -2.083 7.766 Pm
2.871 -5.511 2.715 Pm
0.244 -6.154 5.220 Pm
1.715 -3.331 0.424 Pm
4.422 -7.870 0.867 Er
-5.158 -3.784 6.427 Er
-2.628 -7.466 0.959 Er
5.073 2.052 7.231 Er
1.222 -2.707 4.095 Er
-1.977 2.456 7.323 Er
7.603 -1.629 1.763 Er
0.000 0.000 0.000 Pr



It is 1) that is the least stable of them.



1) Pm4PrEr, relaxed, DFT PBE; total magnetization = 0.0 Bohr magnetons per cell; N(E_F) = 1.6736 states/eV/atom
1.0
-0.847 2.256 6.238
-5.865 2.639 1.834
-3.975 -3.307 4.241
Pm Er Pr
4 1 1
Cartesian
-4.688 2.657 5.572 Pm
-6.261 -0.141 4.568 Pm
-3.737 -0.334 6.783 Pm
-6.687 0.993 7.705 Pm
0.000 0.000 0.000 Er
-2.672 0.397 3.078 Pr



2) Pm4PrEr, relaxed, DFT PBE; total magnetization = 0.0 Bohr magnetons per cell; N(E_F) = 1.4152 states/eV/atom
1.0
3.645 0.000 0.000
0.000 4.871 -1.588
0.000 -1.471 11.991
Pm Er Pr
4 1 1
Cartesian
0.000 1.142 3.501 Pm
0.000 2.258 6.902 Pm
1.823 0.383 9.422 Pm
1.823 3.016 0.981 Pm
1.823 -0.736 5.996 Er
0.000 0.000 0.000 Pr



It is 1) that is the least stable of them.



1) Pm2Pr2Er, relaxed, DFT PBE; total magnetization = 0.0 Bohr magnetons per cell; N(E_F) = 1.7387 states/eV/atom
1.0
-3.811 0.172 4.452
-3.104 -5.010 -2.464
6.958 -3.229 6.082
Pm Pr Er
4 4 2
Cartesian
2.516 -2.783 8.020 Pm
-2.759 -5.489 3.608 Pm
2.834 -2.579 4.423 Pm
-2.441 -5.285 0.012 Pm
2.037 -6.439 7.750 Pr
-1.961 -1.629 0.281 Pr
-0.115 -4.164 5.821 Pr
0.190 -3.904 2.211 Pr
-2.270 -1.831 3.886 Er
2.345 -6.237 4.146 Er



2) Pm2Pr2Er, relaxed, DFT PBE; total magnetization = 0.0 Bohr magnetons per cell; N(E_F) = 1.5741 states/eV/atom
1.0
-2.501 -1.548 5.053
-2.220 -2.304 -1.804
13.253 -9.944 0.130
Pm Pr Er
4 4 2
Cartesian
-0.428 -3.076 -1.154 Pm
8.960 -10.720 4.532 Pm
-0.879 -2.359 2.225 Pm
9.412 -11.437 1.154 Pm
-0.066 -5.607 1.632 Pr
6.458 -5.857 1.402 Pr
2.075 -7.939 1.977 Pr
8.599 -8.189 1.746 Pr
5.371 -9.171 3.231 Er
3.161 -4.626 0.147 Er



It is 2) that is the least stable of them.



1) PmPr2Er8, relaxed, DFT PBE; total magnetization = 0.0 Bohr magnetons per cell; N(E_F) = 1.3872 states/eV/atom
1.0
5.662 1.642 0.000
2.604 8.666 0.000
1.302 4.333 8.007
Er Pr Pm
8 2 1
Cartesian
4.327 11.425 6.148 Er
5.435 9.486 3.340 Er
4.133 5.154 4.667 Er
6.544 7.547 6.148 Er
3.025 7.093 1.859 Er
2.797 4.211 0.000 Er
5.470 6.096 0.000 Er
5.242 3.215 1.859 Er
2.604 8.666 4.902 Pr
1.302 4.333 3.105 Pr
2.831 0.821 0.000 Pm



2) PmPr2Er8, relaxed, DFT PBE; total magnetization = 0.0 Bohr magnetons per cell; N(E_F) = 1.3874 states/eV/atom
1.0
-4.171 -4.052 2.023
5.056 -3.525 0.257
5.126 6.060 7.118
Er Pr Pm
8 2 1
Cartesian
4.853 -1.801 3.334 Er
-0.649 -4.363 2.411 Er
4.683 -0.043 6.468 Er
6.660 2.847 6.987 Er
3.154 3.169 6.606 Er
1.158 0.285 6.063 Er
1.328 -1.472 2.930 Er
2.857 -4.685 2.791 Er
2.681 -2.934 5.906 Pr
3.329 1.418 3.491 Pr
0.000 0.000 0.000 Pm



It is 1) that is the least stable of them.



1) Pm3Pr4Er5, relaxed, DFT PBE; total magnetization = 0.2 Bohr magnetons per cell; N(E_F) = 1.5887 states/eV/atom
1.0
-1.188 -1.284 -5.741
-1.763 -8.394 -0.895
-8.219 4.627 -2.471
Er Pr Pm
5 4 3
Cartesian
-5.585 -2.526 -4.553 Er
-8.991 -4.997 -6.433 Er
-2.180 -0.054 -2.674 Er
-9.140 -1.476 -7.189 Er
-2.030 -3.575 -1.917 Er
-9.322 -2.309 -3.828 Pr
-5.330 2.297 -2.548 Pr
-5.841 -7.348 -6.559 Pr
-1.848 -2.742 -5.278 Pr
-4.991 -1.884 -1.683 Pm
-7.185 0.185 -4.828 Pm
-3.985 -5.236 -4.278 Pm



2) Pm3Pr4Er5, relaxed, DFT PBE; total magnetization = 0.0 Bohr magnetons per cell; N(E_F) = 1.3560 states/eV/atom
1.0
-5.433 3.768 2.882
4.031 -8.633 0.800
1.401 11.786 5.423
Er Pr Pm
5 4 3
Cartesian
2.050 5.313 6.023 Er
1.342 -3.677 2.772 Er
-2.016 7.777 4.152 Er
-2.050 1.608 3.082 Er
-1.343 10.598 6.333 Er
-1.397 -1.762 4.214 Pr
-0.672 7.220 7.437 Pr
1.396 8.683 4.890 Pr
0.671 -0.299 1.667 Pr
1.348 2.514 3.854 Pm
-1.349 4.407 5.250 Pm
0.701 5.893 2.711 Pm



It is 1) that is the least stable of them.



1) Pm4PrEr3, relaxed, DFT PBE; total magnetization = 0.0 Bohr magnetons per cell; N(E_F) = 1.7561 states/eV/atom
1.0
-1.384 5.857 1.934
-6.724 -0.649 -2.844
-3.844 -4.228 10.053
Er Pr Pm
6 2 8
Cartesian
-5.079 3.387 -0.517 Er
-4.168 1.515 2.367 Er
-8.422 2.171 7.667 Er
-4.667 -1.497 4.237 Er
-6.501 4.284 2.643 Er
-6.091 -0.601 7.396 Er
-2.722 0.620 -0.780 Pr
-7.024 1.272 4.500 Pr
-1.761 3.736 0.898 Pm
-7.997 -1.790 2.840 Pm
-6.057 0.274 -2.200 Pm
-7.492 1.214 0.917 Pm
-3.179 4.594 4.096 Pm
-5.070 2.515 9.041 Pm
-9.445 -0.934 6.026 Pm
-3.678 1.571 5.905 Pm



2) Pm4PrEr3, relaxed, DFT PBE; total magnetization = 0.0 Bohr magnetons per cell; N(E_F) = 1.6444 states/eV/atom
1.0
5.644 0.000 -1.125
-0.062 3.599 -0.310
-0.288 1.159 13.275
Er Pm Pr
3 4 1
Cartesian
0.770 0.354 3.864 Er
4.524 4.404 7.976 Er
-0.031 1.799 -0.155 Er
1.363 2.429 6.838 Pm
3.931 2.329 5.001 Pm
1.967 2.716 9.870 Pm
3.327 2.041 1.970 Pm
2.822 0.000 -0.563 Pr



It is 2) that is the least stable of them.



1) Pm12Pr2Er5, relaxed, DFT PBE; total magnetization = 0.0 Bohr magnetons per cell; N(E_F) = 1.4435 states/eV/atom
1.0
-1.840 -4.632 -10.580
0.525 -3.613 7.955
-8.585 -2.788 2.714
Er Pm Pr
5 12 2
Cartesian
-4.065 -6.867 -2.750 Er
-4.292 -1.394 1.357 Er
-5.835 -4.167 2.839 Er
-7.637 -6.707 -2.200 Er
-2.264 -4.327 2.288 Er
-0.605 -1.555 0.786 Pm
-6.409 -6.239 -5.457 Pm
-3.248 -6.367 -6.411 Pm
-2.309 -4.002 -1.011 Pm
-7.048 -7.179 4.369 Pm
-4.300 -6.829 0.898 Pm
-9.295 -9.479 -0.697 Pm
-6.652 -4.667 6.500 Pm
-7.591 -7.031 1.099 Pm
-2.852 -3.855 -4.280 Pm
-5.601 -4.204 -0.810 Pm
-3.491 -4.794 5.546 Pm
-1.336 -3.362 -7.679 Pr
-0.504 -1.270 -2.901 Pr



2) Pm12Pr2Er5, relaxed, DFT PBE; total magnetization = 0.0 Bohr magnetons per cell; N(E_F) = 1.1288 states/eV/atom
1.0
9.337 0.000 0.000
-4.668 10.548 -2.076
0.000 -4.739 7.559
Er Pm Pr
5 12 2
Cartesian
4.668 -0.169 6.581 Er
0.000 5.978 -1.098 Er
4.668 2.462 1.755 Er
0.000 3.346 3.728 Er
0.000 -2.369 3.779 Er
-2.319 5.134 1.528 Pm
1.774 -1.923 6.602 Pm
0.000 0.522 1.510 Pm
2.349 0.675 3.955 Pm
6.988 0.675 3.955 Pm
2.894 7.732 -1.119 Pm
2.319 5.134 1.528 Pm
-2.894 7.732 -1.119 Pm
0.000 7.147 2.794 Pm
4.668 -1.338 2.689 Pm
4.668 5.287 3.973 Pm
7.562 -1.923 6.602 Pm
3.027 0.000 0.000 Pr
6.310 0.000 0.000 Pr



It is 2) that is the least stable of them.



1) PmPr12Er7, relaxed, DFT PBE; total magnetization = 0.0 Bohr magnetons per cell; N(E_F) = 1.4573 states/eV/atom
1.0
-5.093 0.160 3.654
1.959 -11.397 -0.357
7.311 6.356 6.325
Pr Er Pm
12 7 1
Cartesian
2.188 0.682 8.394 Pr
-1.678 -7.278 1.895 Pr
4.201 1.747 3.980 Pr
3.733 -7.185 5.846 Pr
-0.024 -6.628 5.642 Pr
1.989 -5.564 1.228 Pr
2.560 -0.874 5.394 Pr
5.655 -3.240 4.110 Pr
-1.478 -1.641 5.512 Pr
0.444 2.304 3.776 Pr
1.617 -4.007 4.228 Pr
5.855 2.397 7.727 Pr
-2.546 0.080 1.827 Er
3.791 -3.696 6.818 Er
0.386 -1.185 2.804 Er
3.324 3.707 9.428 Er
-2.668 1.686 4.753 Er
0.853 -8.588 0.194 Er
6.844 -6.567 4.869 Er
0.000 0.000 0.000 Pm



2) PmPr12Er7, relaxed, DFT PBE; total magnetization = 0.0 Bohr magnetons per cell; N(E_F) = 1.7174 states/eV/atom
1.0
-3.961 8.126 2.858
-6.436 -6.889 0.999
7.243 -1.914 5.810
Er Pr Pm
7 12 1
Cartesian
-8.330 -1.504 3.544 Er
2.393 -5.743 6.745 Er
5.176 0.827 6.124 Er
-5.547 5.066 2.922 Er
-3.484 -6.721 2.770 Er
0.330 6.044 6.897 Er
-1.577 -0.338 4.834 Er
0.339 -3.122 6.091 Pr
0.845 -2.382 2.821 Pr
-5.114 -0.936 4.465 Pr
-3.332 -3.062 6.731 Pr
-3.999 1.705 6.847 Pr
-3.493 2.445 3.577 Pr
1.960 0.259 5.203 Pr
-2.469 -3.563 3.490 Pr
0.257 -0.162 8.105 Pr
0.178 2.385 2.937 Pr
-0.685 2.886 6.177 Pr
-3.411 -0.515 1.563 Pr
0.000 0.000 0.000 Pm



It is 1) that is the least stable of them.